SrAc2As | GGA-PBE | relaxed

The formation energy is -0.499 eV per atom. Its magnetization is 0.0 Bohr magnetons per cell. The value obtained for the volume is 162 Å³ per cell. The energy above the most stable polymorph in this dataset is 116 meV per atom.

Geometry as CIF:
```
data_SrAc2As
_space_group_name_H-M_alt 'P 4/m m m'
_space_group_IT_number 123
_space_group_name_Hall '-P 4 2'
_cell_length_a 3.965
_cell_length_b 3.965
_cell_length_c 10.312
_cell_angle_alpha 90.00
_cell_angle_beta 90.00
_cell_angle_gamma 90.00
loop_
_atom_site_label
_atom_site_type_symbol
_atom_site_fract_x
_atom_site_fract_y
_atom_site_fract_z
Sr1 Sr 0.000 0.000 0.000
Ac1 Ac 0.500 0.500 0.330
As1 As 0.000 0.000 0.500
```